[1]
InHg2GeI GGA-PBE relaxed; final energy = -1.942 eV per atom; calculated volume = 165.36 Å³ per cell; SG = No. 123; density of states at the Fermi level = 1.43 states/eV/f.u.
1.0
5.360 0.000 0.000
0.000 5.360 0.000
0.000 0.000 5.755
In Hg Ge I
1 2 1 1
Direct
0.000 0.000 0.000
0.000 0.500 0.500
0.500 0.000 0.500
0.000 0.000 0.500
0.500 0.500 0.000

[2]
K2HgGeI6 GGA-PBE relaxed; final energy = -2.398 eV per atom; calculated volume = 489.91 Å³ per cell; SG = No. 146; density of states at the Fermi level = 0.00 states/eV/f.u.
1.0
4.172 2.409 8.125
-4.172 2.409 8.125
0.000 -4.817 8.125
K Hg Ge I
2 1 1 6
Direct
0.000 0.000 0.000
0.482 0.482 0.482
0.223 0.223 0.223
0.776 0.776 0.776
0.034 0.664 0.460
0.160 0.576 0.922
0.460 0.034 0.664
0.576 0.922 0.160
0.664 0.460 0.034
0.922 0.160 0.576

[3]
La4HgGeI2 GGA-PBE relaxed; final energy = -4.365 eV per atom; calculated volume = 271.11 Å³ per cell; SG = No. 10; density of states at the Fermi level = 5.29 states/eV/f.u.
1.0
7.941 0.000 0.000
0.000 4.475 0.000
-2.534 0.000 7.629
La Hg Ge I
4 1 1 2
Direct
0.214 0.000 0.227
0.223 0.500 0.750
0.777 0.500 0.250
0.786 0.000 0.773
0.000 0.000 0.500
0.000 0.500 0.000
0.500 0.000 0.000
0.500 0.500 0.500

[4]
Na2HgGeI6 GGA-PBE relaxed; final energy = -2.342 eV per atom; calculated volume = 412.01 Å³ per cell; SG = No. 146; density of states at the Fermi level = 0.00 states/eV/f.u.
1.0
3.942 2.276 7.654
-3.942 2.276 7.654
0.000 -4.552 7.654
Na Hg Ge I
2 1 1 6
Direct
0.000 0.000 0.000
0.478 0.478 0.478
0.247 0.247 0.247
0.686 0.686 0.686
0.048 0.764 0.425
0.259 0.590 0.888
0.425 0.048 0.764
0.590 0.888 0.259
0.764 0.425 0.048
0.888 0.259 0.590

[5]
Nd8HgGe3I4 GGA-PBE relaxed; final energy = -4.573 eV per atom; calculated volume = 509.34 Å³ per cell; SG = No. 166; density of states at the Fermi level = 7.90 states/eV/f.u.
1.0
4.410 2.546 7.562
-4.410 2.546 7.562
0.000 -5.092 7.562
Nd Hg Ge I
8 1 3 4
Direct
0.228 0.740 0.740
0.234 0.234 0.234
0.260 0.260 0.772
0.260 0.772 0.260
0.740 0.228 0.740
0.740 0.740 0.228
0.766 0.766 0.766
0.772 0.260 0.260
0.500 0.500 0.500
0.000 0.000 0.500
0.000 0.500 0.000
0.500 0.000 0.000
0.000 0.000 0.000
0.000 0.500 0.500
0.500 0.000 0.500
0.500 0.500 0.000

[6]
HgGeIO6 GGA-PBE relaxed; final energy = -4.657 eV per atom; calculated volume = 242.36 Å³ per cell; SG = No. 163; density of states at the Fermi level = 3.05 states/eV/f.u.
1.0
5.241 0.000 0.000
-2.620 4.538 0.000
0.000 0.000 10.190
Hg Ge I O
2 2 2 12
Direct
0.000 0.000 0.000
0.000 0.000 0.500
0.333 0.667 0.250
0.667 0.333 0.750
0.333 0.667 0.750
0.667 0.333 0.250
0.011 0.381 0.143
0.011 0.630 0.357
0.370 0.381 0.357
0.370 0.989 0.143
0.381 0.011 0.643
0.381 0.370 0.857
0.619 0.630 0.143
0.619 0.989 0.357
0.630 0.011 0.857
0.630 0.619 0.643
0.989 0.370 0.643
0.989 0.619 0.857

[7]
HgGeIO2 GGA-PBE relaxed; calculated volume = 114.37 Å³ per cell; SG = No. 123; density of states at the Fermi level = 2.69 states/eV/f.u.; polymorph energy (0 for the lowest one) = 17.319 kcal/mol of atoms
1.0
4.280 0.000 0.000
0.000 4.280 0.000
0.000 0.000 6.244
Hg Ge I O
1 1 1 2
Direct
0.000 0.000 0.000
0.500 0.500 0.500
0.000 0.000 0.500
0.000 0.500 0.000
0.500 0.000 0.000

[8]
HgGeIO2 GGA-PBE relaxed; calculated volume = 100.20 Å³ per cell; SG = No. 123; density of states at the Fermi level = 1.09 states/eV/f.u.; polymorph energy (0 for the lowest one) = 0.000 kcal/mol of atoms
1.0
3.958 0.000 0.000
0.000 3.958 0.000
0.000 0.000 6.397
Hg Ge I O
1 1 1 2
Direct
0.000 0.000 0.000
0.500 0.500 0.500
0.500 0.500 0.000
0.000 0.500 0.500
0.500 0.000 0.500

Please write out number 7 again, unchanged.
HgGeIO2 GGA-PBE relaxed; calculated volume = 114.37 Å³ per cell; SG = No. 123; density of states at the Fermi level = 2.69 states/eV/f.u.; polymorph energy (0 for the lowest one) = 17.319 kcal/mol of atoms
1.0
4.280 0.000 0.000
0.000 4.280 0.000
0.000 0.000 6.244
Hg Ge I O
1 1 1 2
Direct
0.000 0.000 0.000
0.500 0.500 0.500
0.000 0.000 0.500
0.000 0.500 0.000
0.500 0.000 0.000

Question: Number 6 is which compound?
Answer: HgGeIO6

Question: Which of these has the highest calculated volume?
Answer: Nd8HgGe3I4